Record 1
NbCuAu2 | Alexandria via LeMat-Bulk | PBE-GGA | relaxed; DFT total energy = -20.6 eV/cell; Fermi-level density of states = 0.540 states/eV/atom; M_tot = 0.00 μB/f.u.; formation energy from the elements = 0.026 eV per atom
1.0
-1.848 2.176 -0.597
-2.590 -0.577 -1.212
-5.162 -0.323 7.677
Au Cu Nb
2 1 1
Cartesian
-7.254 0.944 4.522
-2.346 0.331 1.346
0.000 0.000 0.000
-4.800 0.638 2.934

Record 2
Na2ScSO6 | Alexandria via LeMat-Bulk | PBE-GGA | relaxed; DFT total energy = -59.0 eV/cell; ΔE_f (raw) = -16.12 eV per formula unit; Fermi-level density of states = 0.075 states/eV/atom; M_tot = 1.04 μB/f.u.
1.0
5.255 0.000 0.000
0.000 5.688 0.000
0.000 -2.844 4.926
O Na Sc S
6 2 1 1
Cartesian
4.259 0.000 1.358
4.259 -1.668 4.247
4.259 1.668 4.247
0.995 4.512 0.679
0.995 2.844 3.568
0.995 1.176 0.679
0.318 0.000 3.284
4.937 2.844 1.642
2.627 0.000 0.000
0.000 0.000 0.000

Record 3
InSbSe | Alexandria via LeMat-Bulk | PBE-GGA | relaxed; DFT total energy = -21.9 eV/cell; ΔE_f (raw) = -0.58 eV per formula unit; Fermi-level density of states = 0.265 states/eV/atom; M_tot = 0.00 μB/f.u.
1.0
-4.075 1.060 -3.089
-3.809 -3.753 0.433
-4.695 2.756 4.166
Sb In Se
2 2 2
Cartesian
-6.349 -0.773 1.292
-9.090 -0.125 2.171
-3.237 -1.202 0.373
-6.225 1.662 -0.454
-5.339 0.847 3.561
-7.300 -2.399 -0.750

Record 4
CrCd2Re | Alexandria via LeMat-Bulk | PBE-GGA | relaxed; DFT total energy = -20.5 eV/cell; Fermi-level density of states = 1.343 states/eV/atom; M_tot = 2.25 μB/f.u.; formation energy from the elements = 0.843 eV per atom
1.0
0.000 3.291 3.291
3.291 0.000 3.291
3.291 3.291 0.000
Cd Cr Re
2 1 1
Cartesian
4.936 4.936 4.936
1.645 1.645 1.645
0.000 0.000 0.000
3.291 3.291 3.291

Record 5
ErSc5Al4 | Alexandria via LeMat-Bulk | PBE-GGA | relaxed; DFT total energy = -54.7 eV/cell; Fermi-level density of states = 0.734 states/eV/atom; M_tot = 0.00 μB/f.u.; formation energy from the elements = -0.354 eV per atom
1.0
3.348 0.000 0.000
0.000 3.348 0.000
0.000 0.000 18.708
Al Sc Er
4 5 1
Cartesian
0.000 0.000 11.078
0.000 0.000 14.548
0.000 0.000 7.630
0.000 0.000 4.160
1.674 1.674 2.426
1.674 1.674 16.282
1.674 1.674 9.354
1.674 1.674 12.800
1.674 1.674 5.908
0.000 0.000 0.000

Record 6
DyMg3Cd4 | Alexandria via LeMat-Bulk | PBE-GGA | relaxed; DFT total energy = -29.2 eV/cell; Fermi-level density of states = 0.541 states/eV/atom; M_tot = 0.00 μB/f.u.; formation energy from the elements = -0.193 eV per atom
1.0
-1.900 -1.919 -4.050
-0.460 -6.791 3.434
-8.943 2.200 3.152
Cd Mg Dy
8 6 2
Cartesian
-5.531 -1.486 0.373
-6.819 0.022 3.183
-5.771 -5.025 2.163
-1.060 -2.586 -1.203
-7.059 -3.517 4.972
-4.484 -6.533 -0.646
-4.244 -2.994 -2.436
-1.300 -6.125 0.587
-3.415 -3.804 0.482
-3.184 -0.408 -1.234
-4.471 1.100 1.576
-7.658 0.689 0.336
-7.888 -2.706 2.055
0.000 0.000 0.000
-4.702 -2.295 3.293
-0.230 -3.396 1.717